The following is a PBE-GGA calculation of crystalline Na3HoEr2Se6 at its relaxed geometry, from Alexandria via LeMat-Bulk.

Lattice parameters (Å, degrees): 7.1327 12.3542 7.3960 90.00 108.75 90.00
Closest atoms and distances in Å follow each position.
Space group C2/m (No. 12)
Symmetry-distinct sites (fractional):
Na 0.0000 0.0000 0.0000  6 Se 3.04-3.05
Na 0.0000 0.3335 0.0000  6 Se 3.04-3.05
Ho 0.0000 0.5000 0.5000  6 Se 2.87
Er 0.0000 0.1667 0.5000  6 Se 2.86
Se 0.2417 0.0000 0.7280  2 Er 2.86, 1 Ho 2.87, 3 Na 3.04-3.05
Se 0.2431 0.3329 0.7279  2 Er 2.86, 1 Ho 2.87, 3 Na 3.04-3.05

Output
* final energy: -118.1 eV for the cell shown

***

The following is a PBE-GGA calculation of crystalline CsHf3In at its relaxed geometry, from Alexandria via LeMat-Bulk.

Lattice parameters (Å, degrees): 5.2547 5.2547 5.2547 90.00 90.00 90.00
Closest atoms and distances in Å follow each position.
Space group Pm-3m (No. 221)
Symmetry-distinct sites (fractional):
Cs 0.0000 0.0000 0.0000  6 Hf 2.63
Hf 0.0000 0.0000 0.5000  2 Cs 2.63
In 0.5000 0.5000 0.5000  12 Hf 3.72

Output
* relative energy among the computed polymorphs: 0.6704 eV/atom
* final energy: -22.6 eV for the cell shown

***

The following is a PBE-GGA calculation of crystalline Ac2InSb3Rh4 at its relaxed geometry, from Alexandria via LeMat-Bulk.

Lattice parameters (Å, degrees): 4.5869 4.5869 10.8517 90.00 90.00 90.00
Closest atoms and distances in Å follow each position.
Space group P-4m2 (No. 115)
Symmetry-distinct sites (fractional):
Ac 0.0000 0.5000 0.2477  8 Rh 3.49-3.53, 6 Sb 3.50-3.57, 2 In 3.57
In 0.0000 0.0000 0.5000  4 Rh 2.71
Sb 0.0000 0.5000 0.8734  5 Rh 2.61-2.67
Sb 0.5000 0.5000 0.5000  4 Rh 2.71
Rh 0.0000 0.0000 0.0000  4 Sb 2.67
Rh 0.0000 0.5000 0.6326  3 Sb 2.61-2.71, 2 In 2.71
Rh 0.5000 0.5000 0.0000  4 Sb 2.67

Output
* final energy: -60.7 eV for the cell shown

***

The following is a PBE-GGA calculation of crystalline BeSi2Hg at its relaxed geometry, from Alexandria via LeMat-Bulk.

Lattice parameters (Å, degrees): 6.4742 6.4742 6.4742 90.00 90.00 90.00
Closest atoms and distances in Å follow each position.
Space group Fm-3m (No. 225)
Symmetry-distinct sites (fractional):
Be 0.0000 0.0000 0.0000  8 Si 2.80
Si 0.2500 0.2500 0.2500  4 Hg 2.80, 4 Be 2.80
Hg 0.0000 0.0000 0.5000  8 Si 2.80

Output
* relative energy among the computed polymorphs: 0.4306 eV/atom
* final energy: -45.7 eV for the cell shown

***

The following is a PBE-GGA calculation of crystalline YTcTe2I at its relaxed geometry, from Alexandria via LeMat-Bulk.

Lattice parameters (Å, degrees): 5.8891 5.8891 5.8219 90.00 90.00 90.00
Closest atoms and distances in Å follow each position.
Space group P4/mmm (No. 123)
Symmetry-distinct sites (fractional):
Y 0.0000 0.0000 0.0000  2 I 2.91, 4 Te 2.94
Tc 0.5000 0.5000 0.5000  8 Te 4.14, 4 I 4.16
Te 0.0000 0.5000 0.0000  2 Y 2.94
I 0.0000 0.0000 0.5000  2 Y 2.91

Output
* relative energy among the computed polymorphs: 0.3381 eV/atom
* final energy: -22.4 eV for the cell shown

***

The following is a PBE-GGA calculation of crystalline PrPuSeO2 at its relaxed geometry, from Alexandria via LeMat-Bulk.

Lattice parameters (Å, degrees): 3.9360 3.9360 12.5392 90.00 90.00 90.00
Closest atoms and distances in Å follow each position.
Space group I4mm (No. 107)
Symmetry-distinct sites (fractional):
Pr 0.0000 0.0000 0.0000  4 O 2.36
Pu 0.0000 0.0000 0.3019  4 O 2.30
Se 0.0000 0.0000 0.6489  4 Pr 3.35, 4 Pu 3.38, 8 O 3.67-3.73
O 0.0000 0.5000 0.3961  2 Pu 2.30, 2 Pr 2.36

Output
* final energy: -92.1 eV for the cell shown

***

The following is a PBE-GGA calculation of crystalline LaPr5S8 at its relaxed geometry, from Alexandria via LeMat-Bulk.

Lattice parameters (Å, degrees): 8.6454 8.6454 8.7265 90.00 90.00 90.00
Closest atoms and distances in Å follow each position.
Space group I-4 (No. 82)
Symmetry-distinct sites (fractional):
La 0.0000 0.0000 0.0000  8 S 2.91-3.11
Pr 0.0000 0.5000 0.7500  8 S 2.90-3.10
Pr 0.1159 0.7498 0.3745  8 S 2.92-3.15
S 0.0754 0.6764 0.0499  1 La 2.91, 5 Pr 2.92-3.14
S 0.0749 0.8230 0.6982  5 Pr 2.90-3.15, 1 La 3.11

Output
* final energy: -180.9 eV for the cell shown

***

The following is a PBE-GGA calculation of crystalline Tl3PtC at its relaxed geometry, from Alexandria via LeMat-Bulk.

Lattice parameters (Å, degrees): 4.8298 4.8298 4.8298 90.00 90.00 90.00
Closest atoms and distances in Å follow each position.
Space group Pm-3m (No. 221)
Symmetry-distinct sites (fractional):
Tl 0.0000 0.0000 0.5000  2 C 2.41
Pt 0.5000 0.5000 0.5000  12 Tl 3.42
C 0.0000 0.0000 0.0000  6 Tl 2.41

Output
* relative energy among the computed polymorphs: 0.0000 eV/atom
* final energy: -17.0 eV for the cell shown

***

Repeat the fourth record exactly.
The following is a PBE-GGA calculation of crystalline BeSi2Hg at its relaxed geometry, from Alexandria via LeMat-Bulk.

Lattice parameters (Å, degrees): 6.4742 6.4742 6.4742 90.00 90.00 90.00
Closest atoms and distances in Å follow each position.
Space group Fm-3m (No. 225)
Symmetry-distinct sites (fractional):
Be 0.0000 0.0000 0.0000  8 Si 2.80
Si 0.2500 0.2500 0.2500  4 Hg 2.80, 4 Be 2.80
Hg 0.0000 0.0000 0.5000  8 Si 2.80

Output
* relative energy among the computed polymorphs: 0.4306 eV/atom
* final energy: -45.7 eV for the cell shown

***

Which value of final energy does entry 2 give?
-22.6 eV for the cell shown